Entry 1:
Here is a geometry-optimized KNi2Rh structure from Alexandria. Energies are from PBE-GGA.

Unit cell a=3.062 b=3.062 c=7.615 alpha=90.00 beta=90.00 gamma=90.00
Space group P4/mmm (No. 123)
Unique sites:
K 0.000 0.000 0.000
Ni 0.500 0.500 0.334
Rh 0.000 0.000 0.500

Calculated values
Calculated volume ... 71.4 Å³/cell
ρ ... 6.0 g/cm³
Total moment ... 0.00 μB per formula unit
Formation energy ... 0.476 eV/atom
Energy above the lowest structure with this stoichiometry ... 0.000 eV/atom
DOS at the Fermi energy ... 1.74 states/eV/atom
Crystal system ... tetragonal

Entry 2:
Here is a geometry-optimized KNiRh2 structure from Alexandria. Energies are from PBE-GGA.

Unit cell a=3.943 b=3.943 c=4.295 alpha=90.00 beta=90.00 gamma=90.00
Space group P4/mmm (No. 123)
Unique sites:
K 0.000 0.000 0.000
Ni 0.500 0.500 0.000
Rh 0.000 0.500 0.500

Calculated values
Calculated volume ... 66.8 Å³/cell
ρ ... 7.5 g/cm³
Total moment ... 0.00 μB per formula unit
Formation energy ... 0.990 eV/atom
Energy above the lowest structure with this stoichiometry ... 0.532 eV/atom
DOS at the Fermi energy ... 1.76 states/eV/atom
Crystal system ... tetragonal

Entry 3:
Here is a geometry-optimized KNi2Rh structure from Alexandria. Energies are from PBE-GGA.

Unit cell a=4.955 b=4.955 c=15.719 alpha=90.00 beta=90.00 gamma=90.00
Space group I4_1/amd (No. 141, origin choice 2)
Unique sites:
K 0.000 0.250 0.375
Ni 0.000 0.000 0.000
Rh 0.000 0.250 0.875

Calculated values
Calculated volume ... 386.0 Å³/cell
ρ ... 4.5 g/cm³
Total moment ... 1.07 μB per formula unit
Formation energy ... 0.763 eV/atom
Energy above the lowest structure with this stoichiometry ... 0.287 eV/atom
DOS at the Fermi energy ... 1.30 states/eV/atom
Crystal system ... tetragonal

Entry 4:
Here is a geometry-optimized KNiRh2 structure from Alexandria. Energies are from PBE-GGA.

Unit cell a=2.816 b=2.816 c=8.614 alpha=90.00 beta=90.00 gamma=90.00
Space group P4/mmm (No. 123)
Unique sites:
K 0.000 0.000 0.000
Ni 0.000 0.000 0.500
Rh 0.500 0.500 0.317

Calculated values
Calculated volume ... 68.3 Å³/cell
ρ ... 7.4 g/cm³
Total moment ... 0.00 μB per formula unit
Formation energy ... 0.458 eV/atom
Energy above the lowest structure with this stoichiometry ... 0.000 eV/atom
DOS at the Fermi energy ... 1.34 states/eV/atom
Crystal system ... tetragonal

Entry 5:
Here is a geometry-optimized KNiRh2 structure from Alexandria. Energies are from PBE-GGA.

Unit cell a=2.721 b=4.173 c=6.956 alpha=90.00 beta=100.24 gamma=90.00
Space group P2/m (No. 10)
Unique sites:
K 0.000 0.000 0.000
Ni 0.500 0.000 0.500
Rh 0.301 0.500 0.664

Calculated values
Calculated volume ... 77.7 Å³/cell
ρ ... 6.5 g/cm³
Total moment ... 1.97 μB per formula unit
Formation energy ... 0.613 eV/atom
Energy above the lowest structure with this stoichiometry ... 0.155 eV/atom
DOS at the Fermi energy ... 2.09 states/eV/atom
Crystal system ... monoclinic

Entry 6:
Here is a geometry-optimized KNiRh2 structure from Alexandria. Energies are from PBE-GGA.

Unit cell a=10.684 b=2.722 c=5.766 alpha=90.00 beta=109.37 gamma=90.00
Space group C2/m (No. 12)
Unique sites:
K 0.000 0.000 0.000
Ni 0.000 0.500 0.500
Rh 0.203 0.000 0.639

Calculated values
Calculated volume ... 158.2 Å³/cell
ρ ... 6.4 g/cm³
Total moment ... 0.98 μB per formula unit
Formation energy ... 0.560 eV/atom
Energy above the lowest structure with this stoichiometry ... 0.101 eV/atom
DOS at the Fermi energy ... 1.64 states/eV/atom
Crystal system ... monoclinic

Entry 7:
Here is a geometry-optimized K2Ni2RhS4 structure from Alexandria. Energies are from PBE-GGA.

Unit cell a=14.055 b=3.807 c=7.079 alpha=90.00 beta=109.80 gamma=90.00
Space group C2/m (No. 12)
Unique sites:
K 0.129 0.000 0.051
Ni 0.190 0.500 0.492
Rh 0.000 0.000 0.500
S 0.022 0.500 0.299
S 0.187 0.000 0.649

Calculated values
Calculated volume ... 356.4 Å³/cell
ρ ... 4.0 g/cm³
Total moment ... 1.26 μB per formula unit
DOS at the Fermi energy ... 0.73 states/eV/atom
Crystal system ... monoclinic
Formation energy from raw total energies ... -0.6180 eV per atom

Entry 8:
Here is a geometry-optimized KNiRhS2 structure from Alexandria. Energies are from PBE-GGA.

Unit cell a=12.379 b=3.891 c=9.450 alpha=90.00 beta=119.44 gamma=90.00
Space group C2/m (No. 12)
Unique sites:
K 0.168 0.000 0.123
Ni 0.021 0.000 0.670
Rh 0.160 0.500 0.440
S 0.046 0.500 0.807
S 0.150 0.000 0.568

Calculated values
Calculated volume ... 396.4 Å³/cell
ρ ... 4.4 g/cm³
Total moment ... 0.00 μB per formula unit
DOS at the Fermi energy ... 0.69 states/eV/atom
Crystal system ... monoclinic
Formation energy from raw total energies ... -0.5580 eV per atom

Entry 9:
Here is a geometry-optimized K3NiRh2S6 structure from Alexandria. Energies are from PBE-GGA.

Unit cell a=6.416 b=11.046 c=7.175 alpha=90.00 beta=107.69 gamma=90.00
Space group C2/m (No. 12)
Unique sites:
K 0.000 0.000 0.000
K 0.000 0.331 0.000
Ni 0.000 0.500 0.500
Rh 0.000 0.166 0.500
S 0.220 0.337 0.663
S 0.221 0.000 0.671

Calculated values
Calculated volume ... 484.4 Å³/cell
ρ ... 3.9 g/cm³
Total moment ... 1.02 μB per formula unit
DOS at the Fermi energy ... 0.40 states/eV/atom
Crystal system ... monoclinic
Formation energy from raw total energies ... -0.6741 eV per atom

Entry 10:
Here is a geometry-optimized KNiRhS3 structure from Alexandria. Energies are from PBE-GGA.

Unit cell a=8.122 b=3.650 c=9.014 alpha=90.00 beta=113.35 gamma=90.00
Space group P2_1/m (No. 11)
Unique sites:
K 0.231 0.250 0.255
Ni 0.089 0.250 0.613
Rh 0.318 0.750 0.847
S 0.129 0.250 0.866
S 0.203 0.750 0.547
S 0.480 0.750 0.135

Calculated values
Calculated volume ... 245.4 Å³/cell
ρ ... 4.0 g/cm³
Total moment ... 0.00 μB per formula unit
DOS at the Fermi energy ... 0.57 states/eV/atom
Crystal system ... monoclinic
Formation energy from raw total energies ... -0.6205 eV per atom

Entry 11:
Here is a geometry-optimized KNiRhSe3 structure from Alexandria. Energies are from PBE-GGA.

Unit cell a=8.447 b=3.798 c=9.485 alpha=90.00 beta=113.99 gamma=90.00
Space group P2_1/m (No. 11)
Unique sites:
K 0.235 0.250 0.263
Ni 0.089 0.250 0.614
Rh 0.315 0.750 0.845
Se 0.124 0.250 0.868
Se 0.210 0.750 0.549
Se 0.478 0.750 0.135

Calculated values
Calculated volume ... 278.0 Å³/cell
ρ ... 5.2 g/cm³
Total moment ... 0.00 μB per formula unit
DOS at the Fermi energy ... 0.52 states/eV/atom
Crystal system ... monoclinic
Formation energy from raw total energies ... -0.5745 eV per atom

Entry 12:
Here is a geometry-optimized K3NiRh2Se6 structure from Alexandria. Energies are from PBE-GGA.

Unit cell a=6.714 b=11.625 c=7.515 alpha=90.00 beta=107.35 gamma=90.00
Space group C2/m (No. 12)
Unique sites:
K 0.000 0.000 0.000
K 0.000 0.332 0.000
Ni 0.000 0.500 0.500
Rh 0.000 0.167 0.500
Se 0.221 0.335 0.666
Se 0.225 0.000 0.668

Calculated values
Calculated volume ... 559.9 Å³/cell
ρ ... 5.1 g/cm³
Total moment ... 1.04 μB per formula unit
DOS at the Fermi energy ... 0.46 states/eV/atom
Crystal system ... monoclinic
Formation energy from raw total energies ... -0.6432 eV per atom

Entry 13:
Here is a geometry-optimized K2Ni2RhSe4 structure from Alexandria. Energies are from PBE-GGA.

Unit cell a=14.850 b=3.943 c=7.419 alpha=90.00 beta=110.96 gamma=90.00
Space group C2/m (No. 12)
Unique sites:
K 0.130 0.000 0.057
Ni 0.194 0.500 0.491
Rh 0.000 0.000 0.500
Se 0.023 0.500 0.300
Se 0.186 0.000 0.660

Calculated values
Calculated volume ... 405.7 Å³/cell
ρ ... 5.0 g/cm³
Total moment ... 1.72 μB per formula unit
DOS at the Fermi energy ... 0.74 states/eV/atom
Crystal system ... monoclinic
Formation energy from raw total energies ... -0.5677 eV per atom

Entry 14:
Here is a geometry-optimized K4NiRh3Se8 structure from Alexandria. Energies are from PBE-GGA.

Unit cell a=7.7629 b=7.7629 c=21.5230 alpha=90.00 beta=90.00 gamma=120.00
Space group R-3m (No. 166, hexagonal axes)
Unique sites:
K 0.0000 0.0000 0.0000
K 0.0000 0.5000 0.0000
Ni 0.0000 0.0000 0.5000
Rh 0.0000 0.5000 0.5000
Se 0.0000 0.0000 0.2227
Se 0.0023 0.5012 0.2222

Calculated values
Calculated volume ... 1123.3 Å³/cell
ρ ... 5.1 g/cm³
Total moment ... 0.81 μB per formula unit
DOS at the Fermi energy ... 0.26 states/eV/atom
Crystal system ... trigonal
Formation energy from raw total energies ... -0.6648 eV per atom

Entry 15:
Here is a geometry-optimized K2NiRh2Se6 structure from Alexandria. Energies are from PBE-GGA.

Unit cell a=6.523 b=11.304 c=7.779 alpha=90.00 beta=106.89 gamma=90.00
Space group C2/m (No. 12)
Unique sites:
K 0.000 0.169 0.000
Ni 0.000 0.000 0.500
Rh 0.000 0.332 0.500
Se 0.219 0.161 0.664
Se 0.231 0.500 0.665

Calculated values
Calculated volume ... 548.9 Å³/cell
ρ ... 4.9 g/cm³
Total moment ... 0.00 μB per formula unit
Crystal system ... monoclinic
Formation energy from raw total energies ... -0.6112 eV per atom

Entry 16:
Here is a geometry-optimized KSrNi2Rh structure from Alexandria. Energies are from PBE-GGA.

Unit cell a=4.526 b=4.526 c=5.429 alpha=90.00 beta=90.00 gamma=90.00
Space group P4/mmm (No. 123)
Unique sites:
K 0.000 0.000 0.000
Sr 0.000 0.000 0.500
Ni 0.000 0.500 0.000
Rh 0.500 0.500 0.500

Calculated values
Calculated volume ... 111.2 Å³/cell
ρ ... 5.2 g/cm³
Total moment ... 0.00 μB per formula unit
Formation energy ... 1.684 eV/atom
DOS at the Fermi energy ... 0.80 states/eV/atom
Crystal system ... tetragonal

Entry 17:
Here is a geometry-optimized KNiRu2 structure from Alexandria. Energies are from PBE-GGA.

Unit cell a=2.647 b=5.294 c=10.147 alpha=90.00 beta=90.00 gamma=90.00
Space group Imm2 (No. 44)
Unique sites:
K 0.000 0.000 0.000
Ni 0.000 0.500 0.780
Ru 0.000 0.000 0.492
Ru 0.000 0.500 0.204

Calculated values
Calculated volume ... 142.2 Å³/cell
ρ ... 7.0 g/cm³
Total moment ... 0.01 μB per formula unit
Formation energy ... 1.119 eV/atom
Energy above the lowest structure with this stoichiometry ... 0.484 eV/atom
DOS at the Fermi energy ... 1.78 states/eV/atom
Crystal system ... orthorhombic

Entry 18:
Here is a geometry-optimized K2NiRu structure from Alexandria. Energies are from PBE-GGA.

Unit cell a=2.784 b=5.491 c=5.269 alpha=90.00 beta=96.38 gamma=90.00
Space group P2/m (No. 10)
Unique sites:
K 0.217 0.000 0.255
Ni 0.000 0.500 0.500
Ru 0.500 0.500 0.000

Calculated values
Calculated volume ... 80.0 Å³/cell
ρ ... 4.9 g/cm³
Total moment ... 0.86 μB per formula unit
Formation energy ... 1.180 eV/atom
Energy above the lowest structure with this stoichiometry ... 0.526 eV/atom
DOS at the Fermi energy ... 1.08 states/eV/atom
Crystal system ... monoclinic

Entry 19:
Here is a geometry-optimized KNiRu2 structure from Alexandria. Energies are from PBE-GGA.

Unit cell a=3.738 b=3.738 c=4.772 alpha=90.00 beta=90.00 gamma=90.00
Space group P4/mmm (No. 123)
Unique sites:
K 0.000 0.000 0.000
Ni 0.500 0.500 0.000
Ru 0.000 0.500 0.500

Calculated values
Calculated volume ... 66.7 Å³/cell
ρ ... 7.5 g/cm³
Total moment ... 0.02 μB per formula unit
Formation energy ... 1.389 eV/atom
Energy above the lowest structure with this stoichiometry ... 0.753 eV/atom
DOS at the Fermi energy ... 1.63 states/eV/atom
Crystal system ... tetragonal

Entry 20:
Here is a geometry-optimized KNiRu2 structure from Alexandria. Energies are from PBE-GGA.

Unit cell a=2.7408 b=2.7408 c=29.6852 alpha=90.00 beta=90.00 gamma=120.00
Space group R-3m (No. 166, hexagonal axes)
Unique sites:
K 0.0000 0.0000 0.0000
Ni 0.0000 0.0000 0.5000
Ru 0.0000 0.0000 0.2345

Calculated values
Calculated volume ... 193.1 Å³/cell
ρ ... 7.7 g/cm³
Total moment ... 0.65 μB per formula unit
Formation energy ... 0.808 eV/atom
Energy above the lowest structure with this stoichiometry ... 0.173 eV/atom
DOS at the Fermi energy ... 1.36 states/eV/atom
Crystal system ... trigonal

Entry 21:
Here is a geometry-optimized KNiRu2 structure from Alexandria. Energies are from PBE-GGA.

Unit cell a=2.701 b=4.795 c=5.075 alpha=90.00 beta=90.00 gamma=90.00
Space group Pmmm (No. 47)
Unique sites:
K 0.000 0.000 0.000
Ni 0.500 0.500 0.000
Ru 0.000 0.500 0.500
Ru 0.500 0.000 0.500

Calculated values
Calculated volume ... 65.7 Å³/cell
ρ ... 7.6 g/cm³
Total moment ... 2.14 μB per formula unit
Formation energy ... 1.192 eV/atom
Energy above the lowest structure with this stoichiometry ... 0.557 eV/atom
DOS at the Fermi energy ... 1.64 states/eV/atom
Crystal system ... orthorhombic

Entry 22:
Here is a geometry-optimized K2NiRu structure from Alexandria. Energies are from PBE-GGA.

Unit cell a=3.357 b=3.357 c=10.091 alpha=90.00 beta=90.00 gamma=90.00
Space group P4mm (No. 99)
Unique sites:
K 0.000 0.000 0.000
K 0.500 0.500 0.437
Ni 0.000 0.000 0.682
Ru 0.500 0.500 0.746

Calculated values
Calculated volume ... 113.7 Å³/cell
ρ ... 3.5 g/cm³
Total moment ... 1.51 μB per formula unit
Formation energy ... 0.662 eV/atom
Energy above the lowest structure with this stoichiometry ... 0.008 eV/atom
DOS at the Fermi energy ... 1.16 states/eV/atom
Crystal system ... tetragonal

Entry 23:
Here is a geometry-optimized KNiRu2 structure from Alexandria. Energies are from PBE-GGA.

Unit cell a=6.407 b=6.407 c=6.407 alpha=90.00 beta=90.00 gamma=90.00
Space group Fm-3m (No. 225)
Unique sites:
K 0.000 0.000 0.000
Ni 0.000 0.000 0.500
Ru 0.250 0.250 0.250

Calculated values
Calculated volume ... 263.0 Å³/cell
ρ ... 7.6 g/cm³
Total moment ... 4.39 μB per formula unit
Formation energy ... 1.490 eV/atom
Energy above the lowest structure with this stoichiometry ... 0.854 eV/atom
DOS at the Fermi energy ... 1.11 states/eV/atom
Crystal system ... cubic

Entry 24:
Here is a geometry-optimized KNiRu2 structure from Alexandria. Energies are from PBE-GGA.

Unit cell a=2.814 b=2.814 c=8.809 alpha=90.00 beta=90.00 gamma=90.00
Space group P4mm (No. 99)
Unique sites:
K 0.000 0.000 0.000
Ni 0.500 0.500 0.302
Ru 0.000 0.000 0.487
Ru 0.500 0.500 0.676

Calculated values
Calculated volume ... 69.8 Å³/cell
ρ ... 7.1 g/cm³
Total moment ... 0.52 μB per formula unit
Formation energy ... 0.651 eV/atom
Energy above the lowest structure with this stoichiometry ... 0.016 eV/atom
DOS at the Fermi energy ... 1.41 states/eV/atom
Crystal system ... tetragonal

Entry 25:
Here is a geometry-optimized K2NiRu structure from Alexandria. Energies are from PBE-GGA.

Unit cell a=7.667 b=7.667 c=7.667 alpha=90.00 beta=90.00 gamma=90.00
Space group Fm-3m (No. 225)
Unique sites:
K 0.250 0.250 0.250
Ni 0.000 0.000 0.000
Ru 0.000 0.000 0.500

Calculated values
Calculated volume ... 450.7 Å³/cell
ρ ... 3.5 g/cm³
Total moment ... 3.24 μB per formula unit
Formation energy ... 1.597 eV/atom
Energy above the lowest structure with this stoichiometry ... 0.942 eV/atom
DOS at the Fermi energy ... 2.46 states/eV/atom
Crystal system ... cubic

Entry 26:
Here is a geometry-optimized K2NiRu structure from Alexandria. Energies are from PBE-GGA.

Unit cell a=4.003 b=4.003 c=10.803 alpha=90.00 beta=90.00 gamma=90.00
Space group I4/mmm (No. 139)
Unique sites:
K 0.000 0.500 0.250
Ni 0.000 0.000 0.000
Ru 0.000 0.000 0.500

Calculated values
Calculated volume ... 173.1 Å³/cell
ρ ... 4.6 g/cm³
Total moment ... 2.13 μB per formula unit
Formation energy ... 1.211 eV/atom
Energy above the lowest structure with this stoichiometry ... 0.556 eV/atom
DOS at the Fermi energy ... 0.96 states/eV/atom
Crystal system ... tetragonal